Below is LiHoAlGa after structural relaxation, with properties calculated at the PBE level.

a = 4.8235 Å, b = 4.8235 Å, c = 4.8235 Å
α = 60.00°, β = 60.00°, γ = 60.00°
Fractional coordinates of all 4 atoms:
Li 0.0000 0.0000 0.0000
Ho 0.5000 0.5000 0.5000
Al 0.7500 0.7500 0.7500
Ga 0.2500 0.2500 0.2500

Results
* calculated formation energy: -32.34 kJ/mol of atoms
* DFT total energy: -3.6504 eV per atom
* crystal system: cubic